# 1
A plane-wave DFT calculation with PBE-GGA was carried out for crystalline Hf5SnN at its relaxed geometry.

Density (Mg/m³): 12.42
D(E_F) (states/eV per cell): 23.853

abc: 9.971 6.026 9.853
angles: 90.00 112.19 90.00
Space group C2/c (No. 15)
Asymmetric unit:
Hf (0.000, 0.039, 0.250)
Hf (0.126, 0.308, 0.049)
Hf (0.197, 0.185, 0.620)
Sn (0.000, 0.465, 0.750)
N (0.000, 0.000, 0.000)

# 2
A plane-wave DFT calculation with PBE-GGA was carried out for crystalline Hf2SnN at its relaxed geometry.

Density (Mg/m³): 10.76
D(E_F) (states/eV per cell): 7.026

abc: 3.2512 3.2512 24.7686
angles: 90.00 90.00 120.00
Space group R-3m (No. 166, hexagonal axes)
Asymmetric unit:
Hf (0.0000, 0.0000, 0.1163)
Sn (0.0000, 0.0000, 0.0000)
N (0.0000, 0.0000, 0.5000)

# 3
A plane-wave DFT calculation with PBE-GGA was carried out for crystalline Hf2SnN at its relaxed geometry.

Density (Mg/m³): 11.32
D(E_F) (states/eV per cell): 18.430

abc: 6.598 6.598 6.598
angles: 90.00 90.00 90.00
Space group Fm-3m (No. 225)
Asymmetric unit:
Hf (0.250, 0.250, 0.250)
Sn (0.000, 0.000, 0.000)
N (0.000, 0.000, 0.500)

# 4
A plane-wave DFT calculation with PBE-GGA was carried out for crystalline Hf4SnN at its relaxed geometry.

Density (Mg/m³): 11.09
D(E_F) (states/eV per cell): 10.121

abc: 7.869 5.175 6.735
angles: 90.00 112.44 90.00
Space group P2_1/c (No. 14)
Asymmetric unit:
Hf (0.118, 0.248, 0.302)
Hf (0.230, 0.729, 0.109)
Sn (0.500, 0.000, 0.000)
N (0.000, 0.000, 0.000)

# 5
A plane-wave DFT calculation with PBE-GGA was carried out for crystalline HfSn2N2 at its relaxed geometry.

Density (Mg/m³): 7.87
D(E_F) (states/eV per cell): 3.678

abc: 5.817 5.817 5.538
angles: 90.00 90.00 90.00
Space group I4/mmm (No. 139)
Asymmetric unit:
Hf (0.000, 0.000, 0.000)
Sn (0.000, 0.500, 0.250)
N (0.000, 0.000, 0.393)

# 6
A plane-wave DFT calculation with PBE-GGA was carried out for crystalline Hf8SnN2 at its relaxed geometry.

Density (Mg/m³): 11.25
D(E_F) (states/eV per cell): 18.972

abc: 12.685 6.406 5.792
angles: 90.00 99.08 90.00
Space group C2/m (No. 12)
Asymmetric unit:
Hf (0.097, 0.237, 0.196)
Hf (0.148, 0.000, 0.715)
Hf (0.195, 0.500, 0.800)
Sn (0.000, 0.500, 0.500)
N (0.190, 0.500, 0.154)

Formation energy from raw total energies across the listed records, respectively: -482; -685; 465; -456; 42; -328 meV per atom.
Final energy across the listed records, respectively: -9.35; -8.74; -7.59; -9.15; -6.88; -9.44 eV/atom.
Calculated volume across the listed records, respectively: 19.6; 18.9; 18.0; 21.1; 18.7; 21.1 Å³/atom.